No. 1
VASP calculation (PBE-GGA) on a relaxed Li5SF2 crystal.

Values from the calculation:
- E (eV/cell) = -31.78
- volume (Å³/atom) = 14.25
- size of the total moment (μB per cell) = 0.0
- formation energy from raw total energies (eV/atom) = -1.7924

a b c (Å): 7.9192 7.9192 7.9192
angles (deg): 151.34 151.34 40.97
Closest atoms and distances in Å follow each position.
Atoms (fractional coordinates):
Li: 0.0000 0.0000 0.0000  2 F 1.86
Li: 0.1266 0.6266 0.5000  2 F 1.96
Li: 0.3734 0.8734 0.5000  2 F 1.96
Li: 0.6266 0.1266 0.5000  2 F 1.96
Li: 0.8734 0.3734 0.5000  2 F 1.96
S: 0.5000 0.5000 0.0000  12 Li 2.71-2.77
F: 0.1256 0.1256 0.0000  5 Li 1.86-1.96
F: 0.8744 0.8744 0.0000  5 Li 1.86-1.96

No. 2
VASP calculation (PBE-GGA) on a relaxed Pu5Sb3O crystal.

Values from the calculation:
- E (eV/cell) = -196.42
- volume (Å³/atom) = 26.06
- size of the total moment (μB per cell) = 35.0
- formation energy from raw total energies (eV/atom) = -1.0252
- excess energy over the best structure of this formula in the dataset (meV per atom) = 0

a b c (Å): 9.0153 9.0153 9.0153
angles (deg): 125.41 125.41 80.85
Closest atoms and distances in Å follow each position.
Atoms (fractional coordinates):
Pu: 0.0000 0.0000 0.0000  6 Sb 3.18-3.43
Pu: 0.0046 0.5046 0.8163  1 O 2.27
Pu: 0.1883 0.0046 0.5000  1 O 2.27
Pu: 0.3117 0.8117 0.8163  1 O 2.27
Pu: 0.4954 0.3117 0.5000  1 O 2.27
Pu: 0.5000 0.5000 0.0000  6 Sb 3.18-3.43
Pu: 0.5046 0.6883 0.5000  1 O 2.27
Pu: 0.6883 0.1883 0.1837  1 O 2.27
Pu: 0.8117 0.9954 0.5000  1 O 2.27
Pu: 0.9954 0.4954 0.1837  1 O 2.27
Sb: 0.1422 0.3578 0.5000  8 Pu 3.14-3.26, 1 Sb 3.33
Sb: 0.2500 0.2500 0.0000  10 Pu 3.38-3.43
Sb: 0.3578 0.8578 0.2156  8 Pu 3.14-3.26, 1 Sb 3.33
Sb: 0.6422 0.1422 0.7844  8 Pu 3.14-3.26, 1 Sb 3.33
Sb: 0.7500 0.7500 0.0000  10 Pu 3.38-3.43
Sb: 0.8578 0.6422 0.5000  8 Pu 3.14-3.26, 1 Sb 3.33
O: 0.2500 0.7500 0.5000  4 Pu 2.27
O: 0.7500 0.2500 0.5000  4 Pu 2.27

no.,D(E_F) (states/eV/cell)
1,1.2
2,93.6